This record from the Alexandria database describes an optimized crystal structure of Pm2PrSm5Er. The functional is PBE-GGA.

Computed properties:
The magnetization comes out at 0.0 μB per formula unit. Its density of states at the Fermi level is 12.48 states/eV/f.u. As for the formation energy: 0.27 eV/atom.

Cell and atoms, written as CIF:
```
data_Pm2PrSm5Er
_cell_length_a 8.8778
_cell_length_b 8.8778
_cell_length_c 15.6458
_cell_angle_alpha 90.00
_cell_angle_beta 90.00
_cell_angle_gamma 90.00
_symmetry_space_group_name_H-M 'I 4/m c m'
_symmetry_Int_Tables_number 140
_symmetry_space_group_name_Hall '-I 4 2c'
loop_
_atom_site_label
_atom_site_fract_x
_atom_site_fract_y
_atom_site_fract_z
Pm1 0.1163 0.3837 0.0000
Pr1 0.0000 0.0000 0.2500
Sm1 0.0000 0.0000 0.0000
Sm2 0.2089 0.2911 0.3628
Er1 0.0000 0.5000 0.2500
```